Compound: DyEr2Au6
Source: Alexandria
Functional: PBE
Structure: optimized geometry

The structure in extended XYZ format:
```
9
Lattice="2.616 -8.023 0.000 2.616 8.023 0.000 -2.565 0.000 4.544" Properties=species:S:1:pos:R:3 pbc="T T T"
Dy 0.000 0.000 0.000
Er 1.333 2.655 2.272
Er 1.333 -2.655 2.272
Au 1.328 5.352 0.764
Au 1.339 5.352 3.780
Au 0.075 0.000 3.053
Au 2.592 0.000 1.491
Au 1.328 -5.352 0.764
Au 1.339 -5.352 3.780
```

**Space-group type**: C2/m
**Fermi-level density of states**: 4.5 states/eV/f.u.
**Formation energy from the elements**: -0.81 eV/atom


Compound: TcP2SF
Source: Alexandria
Functional: PBE
Structure: optimized geometry

The structure in extended XYZ format:
```
5
Lattice="3.998 0.000 0.000 0.000 3.998 0.000 0.000 0.000 4.900" Properties=species:S:1:pos:R:3 pbc="T T T"
Tc 0.000 0.000 0.000
P 0.000 1.999 2.450
P 1.999 0.000 2.450
S 1.999 1.999 0.000
F 1.999 1.999 2.450
```

**Space-group type**: P4/mmm
**Energy relative to the lowest polymorph listed for this composition**: 0.678 eV per atom
**Fermi-level density of states**: 2.9 states/eV/f.u.
**Formation energy (no corrections)**: 87 kJ/mol of atoms


Compound: K2NaCdHg2
Source: Alexandria
Functional: PBE
Structure: optimized geometry

The structure in extended XYZ format:
```
12
Lattice="-3.473 8.410 3.649 3.473 -8.410 3.649 3.473 8.410 -3.649" Properties=species:S:1:pos:R:3 pbc="T T T"
K 1.704 2.920 0.000
K 1.704 -2.920 3.649
K 1.769 11.330 0.000
K 1.769 5.491 3.649
Na 0.000 0.000 1.825
Na 0.000 0.000 5.474
Cd 3.473 0.000 1.825
Cd 0.000 8.410 1.825
Hg 5.092 1.828 0.000
Hg 1.620 6.582 0.000
Hg 1.853 1.828 3.649
Hg -1.620 6.582 3.649
```

**Space-group type**: Ibam
**Fermi-level density of states**: 3.5 states/eV/f.u.
**Formation energy from the elements**: -0.19 eV/atom